Entry 1:
Li2SiNi at its PBEsol-relaxed geometry. Source: Alexandria, functional SCAN.

```
Li2SiNi
1.0
-3.425 3.425 2.246
3.425 -3.425 2.246
3.425 3.425 -2.246
Li Si Ni
4 2 2
Cartesian
1.712 1.543 -0.561
1.882 -1.712 2.807
1.712 1.882 1.684
1.543 5.137 0.561
3.425 0.000 1.123
0.000 0.000 2.246
0.000 0.000 0.000
0.000 3.425 1.123
```

total DFT energy (no corrections)	-7.64	eV per atom
DOS(E_F)	0.32	states/eV per atom
E_form (uncorrected)	0.10	eV per atom
space-group type	I-42d

=====

Entry 2:
Li2SiNi at its PBEsol-relaxed geometry. Source: Alexandria, functional SCAN.

```
Li2SiNi
1.0
2.293 -4.347 0.000
2.293 4.347 0.000
-1.078 0.000 2.348
Li Si Ni
2 1 1
Cartesian
1.147 2.174 0.000
1.147 -2.174 0.000
-0.539 0.000 1.174
1.754 0.000 1.174
```

total DFT energy (no corrections)	-7.91	eV per atom
DOS(E_F)	0.37	states/eV per atom
E_form (uncorrected)	-0.17	eV per atom
space-group type	C2/m

=====

Entry 3:
Li2SiNi at its PBEsol-relaxed geometry. Source: Alexandria, functional SCAN.

```
Li2SiNi
1.0
2.902 0.000 0.000
0.000 2.902 0.000
0.000 0.000 6.172
Li Si Ni
2 1 1
Cartesian
0.000 0.000 0.000
1.451 1.451 1.899
1.451 1.451 4.543
0.000 0.000 3.473
```

total DFT energy (no corrections)	-7.99	eV per atom
DOS(E_F)	0.33	states/eV per atom
E_form (uncorrected)	-0.25	eV per atom
space-group type	P4mm

=====

Entry 4:
Li2SiNi at its PBEsol-relaxed geometry. Source: Alexandria, functional SCAN.

```
Li2SiNi
1.0
1.292 0.746 8.464
-1.292 0.746 8.464
0.000 -1.492 8.464
Li Si Ni
2 1 1
Cartesian
0.000 0.000 6.267
0.000 0.000 19.125
0.000 0.000 0.000
0.000 0.000 12.696
```

total DFT energy (no corrections)	-7.65	eV per atom
DOS(E_F)	0.52	states/eV per atom
E_form (uncorrected)	0.09	eV per atom
space-group type	R-3m